# Ga2HgTe2

A relaxed Ga2HgTe2 crystal (GGA-PBE, Alexandria via LeMat-Bulk).

a = 4.977 Å, b = 4.977 Å, c = 7.683 Å
α = 71.10°, β = 71.10°, γ = 90.00°
Fractional positions:
Te 0.348 0.348 0.303
Te 0.652 0.652 0.697
Ga 0.250 0.750 0.500
Ga 0.750 0.250 0.500
Hg 0.000 0.000 0.000

N(E_F)	0.2916	states/eV/atom
electronic total energy	-13.231	eV for the cell shown
space group	I4/mmm